Compound: SrNbAsO6
Source: Alexandria
Functional: PBE-GGA
Structure: relaxed

abc: 5.2156 5.2155 5.3808
angles: 90.00 90.00 60.00
Fractional positions:
Sr: 0.0000 0.0000 0.0000
Nb: 0.3333 0.3333 0.4999
As: 0.6666 0.6667 0.5000
O: 0.9790 0.3941 0.3005
O: 0.3941 0.9791 0.6995
O: 0.6268 0.3941 0.6995
O: 0.9791 0.6268 0.6995
O: 0.3940 0.6269 0.3005
O: 0.6268 0.9791 0.3005

Summary:
- total moment (μB/atom) = 0.000
- electronic total energy (eV per atom) = -7.347
- space-group type = No. 149
- formation energy without anion corrections (eV/atom) = -2.2191